# PBE-GGA RbP3Ir, relaxed
# total DFT energy (no corrections)	-11.35	eV per cell
# ΔE to the lowest computed polymorph	12.27	eV per formula unit
# volume	25.48	Å³/atom
# SG	Pm-3m, No. 221
data_RbP3Ir
_cell_length_a 5.0316
_cell_length_b 5.0316
_cell_length_c 5.0316
_cell_angle_alpha 90.00
_cell_angle_beta 90.00
_cell_angle_gamma 90.00
_space_group_name_H-M_alt 'P 1'
_space_group_IT_number 1
loop_
_space_group_symop_operation_xyz
'x,y,z'
loop_
_atom_site_label
_atom_site_type_symbol
_atom_site_fract_x
_atom_site_fract_y
_atom_site_fract_z
_atom_site_occupancy
P1 P 0.5000 0.0000 0.0000 1
P2 P 0.0000 0.0000 0.5000 1
P3 P 0.0000 0.5000 0.0000 1
Rb1 Rb 0.0000 0.0000 0.0000 1
Ir1 Ir 0.5000 0.5000 0.5000 1